1.
## SrNbH (PBE-GGA)

Data for a relaxed structure of SrNbH.

## Properties
Crystal system: orthorhombic
ΔE to the lowest computed polymorph: 0.52 eV/f.u.
E: -4.93 eV per atom
V: 137 Å³ per cell

a b c (Å): 3.6174 3.9873 9.5245
angles (deg): 90.00 90.00 90.00
Last column: nearest neighbours and their distance in Å.
Atoms (fractional coordinates):
1 Sr 0.2500 0.2500 0.1878  2 H 2.95
2 Sr 0.7500 0.7500 0.8122  2 H 2.95
3 Nb 0.2500 0.2500 0.5440  4 H 2.01-2.10
4 Nb 0.7500 0.7500 0.4560  4 H 2.01-2.10
5 H 0.2500 0.7500 0.5672  4 Nb 2.01-2.10
6 H 0.7500 0.2500 0.4328  4 Nb 2.01-2.10

---

2.
## SrNbH (PBE-GGA)

Data for a relaxed structure of SrNbH.

## Properties
Crystal system: monoclinic
ΔE to the lowest computed polymorph: 0.76 eV/f.u.
E: -4.85 eV per atom
V: 124 Å³ per cell

a b c (Å): 6.3925 6.3925 3.3211
angles (deg): 94.14 94.14 112.94
Last column: nearest neighbours and their distance in Å.
Atoms (fractional coordinates):
1 Sr 0.1984 0.8016 0.0000  3 H 2.46-2.55
2 Sr 0.8016 0.1984 0.0000  3 H 2.46-2.55
3 Nb 0.3579 0.3579 0.6019  2 H 1.95
4 Nb 0.6409 0.6409 0.3180  1 Nb 2.32
5 H 0.0925 0.4377 0.5550  1 Nb 1.95
6 H 0.4377 0.0925 0.5550  1 Nb 1.95

---

3.
## SrNbH (PBE-GGA)

Data for a relaxed structure of SrNbH.

## Properties
Crystal system: tetragonal
ΔE to the lowest computed polymorph: 1.46 eV/f.u.
E: -4.62 eV per atom
V: 113 Å³ per cell

a b c (Å): 4.4115 4.4115 5.7966
angles (deg): 90.00 90.00 90.00
Last column: nearest neighbours and their distance in Å.
Atoms (fractional coordinates):
1 Sr 0.2500 0.7500 0.0000  4 H 2.37
2 Sr 0.7500 0.2500 0.0000  4 H 2.37
3 Nb 0.2500 0.2500 0.4769  1 H 1.88
4 Nb 0.7500 0.7500 0.5231  1 H 1.88
5 H 0.2500 0.2500 0.1517  1 Nb 1.88
6 H 0.7500 0.7500 0.8483  1 Nb 1.88

---

4.
## SrNbH (PBE-GGA)

Data for a relaxed structure of SrNbH.

## Properties
Crystal system: hexagonal
ΔE to the lowest computed polymorph: 5.76 eV/f.u.
E: -3.19 eV per atom
V: 161 Å³ per cell

a b c (Å): 5.3639 5.3639 6.4705
angles (deg): 90.00 90.00 120.00
Last column: nearest neighbours and their distance in Å.
Atoms (fractional coordinates):
1 Sr 0.3333 0.6667 0.2500  5 Nb 3.10-3.24
2 Sr 0.6667 0.3333 0.7500  5 Nb 3.10-3.24
3 Nb 0.3333 0.6667 0.7500  5 Sr 3.10-3.24
4 Nb 0.6667 0.3333 0.2500  5 Sr 3.10-3.24
5 H 0.0000 0.0000 0.0000  2 H 3.24, 6 Nb 3.49, 6 Sr 3.49
6 H 0.0000 0.0000 0.5000  2 H 3.24, 6 Nb 3.49, 6 Sr 3.49

---

5.
## SrNbH (PBE-GGA)

Data for a relaxed structure of SrNbH.

## Properties
Crystal system: cubic
ΔE to the lowest computed polymorph: 5.95 eV/f.u.
E: -3.12 eV per atom
V: 97 Å³ per cell

a b c (Å): 5.1643 5.1643 5.1643
angles (deg): 60.00 60.00 60.00
Last column: nearest neighbours and their distance in Å.
Atoms (fractional coordinates):
1 Sr 0.0000 0.0000 0.0000  4 H 3.16, 4 Nb 3.16
2 Nb 0.2500 0.2500 0.2500  4 Sr 3.16
3 H 0.7500 0.7500 0.7500  4 Sr 3.16

---

6.
## SrNbH (PBE-GGA)

Data for a relaxed structure of SrNbH.

## Properties
Crystal system: orthorhombic
ΔE to the lowest computed polymorph: 0.82 eV/f.u.
E: -4.83 eV per atom
V: 126 Å³ per cell

a b c (Å): 6.0325 6.0325 3.5565
angles (deg): 90.00 90.00 103.32
Last column: nearest neighbours and their distance in Å.
Atoms (fractional coordinates):
1 Sr 0.1985 0.8015 0.0000  2 H 2.59
2 Sr 0.8015 0.1985 0.0000  2 H 2.59
3 Nb 0.3450 0.3450 0.5000  2 H 1.95
4 Nb 0.6550 0.6550 0.5000  2 H 1.95
5 H 0.2378 0.2378 0.0000  2 Nb 1.95
6 H 0.7622 0.7622 0.0000  2 Nb 1.95